! PBE Li2TeF6, optimized geometry; values from VASP
&SYSTEM
  ibrav = 0, nat = 18, ntyp = 3
/
ATOMIC_SPECIES
Li 6.94 Li.upf
Te 127.60 Te.upf
F 19.00 F.upf
CELL_PARAMETERS angstrom
4.880 0.000 0.000
0.000 4.880 0.000
0.000 0.000 9.557
ATOMIC_POSITIONS crystal
Li 0.000 0.000 0.338
Li 0.500 0.500 0.838
Li 0.500 0.500 0.162
Li 0.000 0.000 0.662
Te 0.000 0.000 0.000
Te 0.500 0.500 0.500
F 0.302 0.302 0.334
F 0.698 0.698 0.334
F 0.198 0.802 0.834
F 0.802 0.198 0.834
F 0.198 0.802 0.166
F 0.802 0.198 0.166
F 0.302 0.302 0.666
F 0.698 0.698 0.666
F 0.305 0.305 0.000
F 0.695 0.695 0.000
F 0.195 0.805 0.500
F 0.805 0.195 0.500
! - Relative energy among the computed polymorphs: 0 meV per atom
! - Formation energy (no corrections): -2.48 eV per atom
! - Density: 3727 kg/m³
! - V: 12.646 A^3/atom
! - Fermi-level density of states: 0.000 states/eV/atom